No. 1
This record from Alexandria via LeMat-Bulk describes a geometry-optimized CaSm2NpP4 structure. The functional is PBE-GGA.

Lattice parameters (Å, degrees): 4.069 7.030 7.026 109.08 90.00 90.00
Positions (direct):
P 0.000 0.238 0.757
Sm 0.500 0.000 0.500
P 0.500 0.762 0.759
Np 0.000 0.000 0.000
Ca 0.500 0.500 0.000
Sm 0.000 0.500 0.500
P 0.000 0.762 0.243
P 0.500 0.238 0.241

Values from the calculation:
ΔH_f (0 K): -1244 meV/atom
N(E_F): 9.77 states/eV per cell
Calculated volume: 23.7 Å³ per atom
Total DFT energy (no corrections): -7.00 eV/atom

---

No. 2
This record from Alexandria via LeMat-Bulk describes a geometry-optimized Ho3Ge3Pd structure. The functional is PBE-GGA.

Lattice parameters (Å, degrees): 4.285 5.742 13.230 83.90 80.68 68.09
Positions (direct):
Ho 0.601 0.721 0.078
Pd 0.242 0.916 0.600
Ge 0.876 0.172 0.076
Ho 0.399 0.279 0.922
Ho 0.471 0.679 0.379
Ge 0.029 0.173 0.768
Ge 0.874 0.704 0.548
Ho 0.260 0.253 0.227
Ge 0.126 0.296 0.452
Ge 0.971 0.827 0.232
Ho 0.740 0.747 0.773
Ho 0.529 0.321 0.621
Ge 0.124 0.828 0.924
Pd 0.758 0.084 0.400

Values from the calculation:
ΔH_f (0 K): -919 meV/atom
N(E_F): 5.73 states/eV per cell
Calculated volume: 21.3 Å³ per atom
Total DFT energy (no corrections): -5.60 eV/atom

---

No. 3
This record from Alexandria via LeMat-Bulk describes a geometry-optimized ZnCoCl2 structure. The functional is PBE-GGA.

Lattice parameters (Å, degrees): 3.071 3.071 8.977 90.00 90.00 90.00
Positions (direct):
Zn 0.500 0.500 0.750
Co 0.500 0.500 0.250
Cl 0.000 0.000 0.084
Cl 0.000 0.000 0.416

Values from the calculation:
N(E_F): 1.72 states/eV per cell
Energy relative to the elements, uncorrected: 37 meV per atom
Calculated volume: 21.2 Å³ per atom
E above lowest polymorph: 377 meV/atom
Total DFT energy (no corrections): -2.98 eV/atom

---

No. 4
This record from Alexandria via LeMat-Bulk describes a geometry-optimized RbBaAl structure. The functional is PBE-GGA.

Lattice parameters (Å, degrees): 4.648 4.648 17.544 90.00 90.00 120.00
Positions (direct):
Al 0.667 0.333 0.001
Ba 0.000 0.000 0.136
Rb 0.667 0.333 0.378
Al 0.333 0.667 0.999
Rb 0.333 0.667 0.622
Ba 0.000 0.000 0.864

Values from the calculation:
ΔH_f (0 K): -113 meV/atom
N(E_F): 4.37 states/eV per cell
Calculated volume: 54.7 Å³ per atom
Total DFT energy (no corrections): -2.32 eV/atom

---

No. 5
This record from Alexandria via LeMat-Bulk describes a geometry-optimized LiY3Ho2Se6 structure. The functional is PBE-GGA.

Lattice parameters (Å, degrees): 7.009 7.009 7.037 99.60 99.60 120.11
Positions (direct):
Se 0.920 0.595 0.758
Y 0.167 0.833 0.500
Se 0.405 0.080 0.242
Se 0.243 0.243 0.759
Y 0.500 0.500 0.500
Ho 0.335 0.665 0.000
Li 0.000 0.000 0.000
Se 0.595 0.920 0.758
Se 0.757 0.757 0.241
Ho 0.665 0.335 0.000
Se 0.080 0.405 0.242
Y 0.833 0.167 0.500

Values from the calculation:
N(E_F): 5.17 states/eV per cell
Energy relative to the elements, uncorrected: -1752 meV per atom
Calculated volume: 23.5 Å³ per atom
Total DFT energy (no corrections): -6.03 eV/atom

---

No. 6
This record from Alexandria via LeMat-Bulk describes a geometry-optimized Er4Mg3Pb structure. The functional is PBE-GGA.

Lattice parameters (Å, degrees): 4.330 4.942 9.997 90.00 90.00 90.00
Positions (direct):
Mg 0.500 0.500 0.500
Er 0.000 0.500 0.249
Mg 0.500 0.000 0.258
Mg 0.500 0.000 0.742
Pb 0.500 0.500 0.000
Er 0.000 0.000 0.500
Er 0.000 0.500 0.751
Er 0.000 0.000 0.000

Values from the calculation:
ΔH_f (0 K): -175 meV/atom
N(E_F): 7.64 states/eV per cell
Calculated volume: 26.7 Å³ per atom
Total DFT energy (no corrections): -3.52 eV/atom

---

No. 7
This record from Alexandria via LeMat-Bulk describes a geometry-optimized Ca2AlAg structure. The functional is PBE-GGA.

Lattice parameters (Å, degrees): 9.701 9.701 9.701 22.09 22.09 22.09
Positions (direct):
Ca 0.998 0.998 0.998
Ag 0.250 0.250 0.250
Al 0.750 0.750 0.750
Ca 0.502 0.502 0.502

Values from the calculation:
ΔH_f (0 K): -34 meV/atom
N(E_F): 1.23 states/eV per cell
Calculated volume: 28.3 Å³ per atom
Total DFT energy (no corrections): -2.68 eV/atom

---

No. 8
This record from Alexandria via LeMat-Bulk describes a geometry-optimized SrTc2O8 structure. The functional is PBE-GGA.

Lattice parameters (Å, degrees): 7.223 5.947 7.302 51.53 59.69 87.09
Positions (direct):
O 0.374 0.876 0.925
O 0.626 0.124 0.075
O 0.199 0.147 0.161
Tc 0.329 0.996 0.336
Sr 0.000 0.000 0.000
Tc 0.671 0.004 0.664
O 0.201 0.590 0.600
O 0.707 0.869 0.499
O 0.293 0.131 0.501
O 0.799 0.410 0.400
O 0.801 0.853 0.839

Values from the calculation:
N(E_F): 0.00 states/eV per cell
Energy relative to the elements, uncorrected: -1800 meV per atom
Calculated volume: 17.7 Å³ per atom
E above lowest polymorph: 0 meV/atom
Total DFT energy (no corrections): -7.44 eV/atom